(1)
# UPa2S6

A geometry-optimized UPa2S6 structure (PBE-GGA, Alexandria).

a = 6.324 Å, b = 6.324 Å, c = 12.385 Å
α = 90.00°, β = 90.00°, γ = 90.00°
Fractional coordinates of all 18 atoms:
U  0.000  0.000  0.000
U  0.500  0.500  0.500
Pa  0.000  0.000  0.334
Pa  0.000  0.000  0.666
Pa  0.500  0.500  0.166
Pa  0.500  0.500  0.834
S  0.194  0.194  0.500
S  0.197  0.197  0.169
S  0.197  0.197  0.831
S  0.303  0.697  0.331
S  0.303  0.697  0.669
S  0.306  0.694  0.000
S  0.694  0.306  0.000
S  0.697  0.303  0.331
S  0.697  0.303  0.669
S  0.803  0.803  0.169
S  0.803  0.803  0.831
S  0.806  0.806  0.500

excess energy over the best structure of this formula in the dataset = 26 meV per atom
uncorrected energy = -136.0 eV per cell
D(E_F) = 1.5816 states/eV per atom
space group = P4_2/mnm, No. 136
ΔE_f (raw) = -1.4409 eV/atom


(2)
# U4Pa3S8

A geometry-optimized U4Pa3S8 structure (PBE-GGA, Alexandria).

a = 7.736 Å, b = 7.736 Å, c = 7.689 Å
α = 119.79°, β = 119.79°, γ = 89.98°
Fractional coordinates of all 15 atoms:
U  0.000  0.000  0.000
U  0.000  0.000  0.500
U  0.000  0.500  0.000
U  0.500  0.000  0.000
Pa  0.000  0.500  0.500
Pa  0.500  0.000  0.500
Pa  0.500  0.500  0.000
S  0.249  0.751  0.000
S  0.255  0.255  0.012
S  0.256  0.256  0.499
S  0.256  0.744  0.500
S  0.744  0.256  0.500
S  0.744  0.744  0.501
S  0.745  0.745  0.988
S  0.751  0.249  0.000

uncorrected energy = -128.9 eV per cell
D(E_F) = 2.1195 states/eV per atom
space group = C2/m, No. 12
ΔE_f (raw) = -1.4837 eV/atom


(3)
# UPaS

A geometry-optimized UPaS structure (PBE-GGA, Alexandria).

a = 8.990 Å, b = 5.379 Å, c = 4.929 Å
α = 90.00°, β = 90.00°, γ = 90.00°
Fractional coordinates of all 12 atoms:
U  0.002  0.250  0.004
U  0.498  0.750  0.504
U  0.502  0.250  0.496
U  0.998  0.750  0.996
Pa  0.157  0.250  0.479
Pa  0.343  0.750  0.979
Pa  0.657  0.250  0.021
Pa  0.843  0.750  0.521
S  0.170  0.750  0.482
S  0.330  0.250  0.982
S  0.670  0.750  0.018
S  0.830  0.250  0.518

excess energy over the best structure of this formula in the dataset = 0 meV per atom
uncorrected energy = -107.1 eV per cell
D(E_F) = 2.1426 states/eV per atom
space group = Pnma, No. 62
ΔE_f (raw) = -0.6218 eV/atom


(4)
# U4PaS8

A geometry-optimized U4PaS8 structure (PBE-GGA, Alexandria).

a = 8.039 Å, b = 8.039 Å, c = 8.039 Å
α = 60.00°, β = 60.00°, γ = 60.00°
Fractional coordinates of all 13 atoms:
U  0.121  0.121  0.121
U  0.121  0.121  0.638
U  0.121  0.638  0.121
U  0.638  0.121  0.121
Pa  0.500  0.500  0.500
S  0.346  0.885  0.885
S  0.365  0.365  0.365
S  0.365  0.365  0.904
S  0.365  0.904  0.365
S  0.885  0.346  0.885
S  0.885  0.885  0.346
S  0.885  0.885  0.885
S  0.904  0.365  0.365

uncorrected energy = -104.1 eV per cell
D(E_F) = 1.5754 states/eV per atom
space group = F-43m, No. 216
ΔE_f (raw) = -1.2626 eV/atom


(5)
# U5Pa3S8

A geometry-optimized U5Pa3S8 structure (PBE-GGA, Alexandria).

a = 7.882 Å, b = 7.882 Å, c = 7.882 Å
α = 57.92°, β = 57.92°, γ = 57.92°
Fractional coordinates of all 16 atoms:
U  0.000  0.000  0.000
U  0.000  0.500  0.500
U  0.500  0.000  0.500
U  0.500  0.500  0.000
U  0.500  0.500  0.500
Pa  0.000  0.000  0.500
Pa  0.000  0.500  0.000
Pa  0.500  0.000  0.000
S  0.250  0.250  0.747
S  0.250  0.747  0.250
S  0.251  0.251  0.251
S  0.253  0.750  0.750
S  0.747  0.250  0.250
S  0.749  0.749  0.749
S  0.750  0.253  0.750
S  0.750  0.750  0.253

uncorrected energy = -141.4 eV per cell
D(E_F) = 1.8472 states/eV per atom
space group = R-3m, No. 166
ΔE_f (raw) = -1.4662 eV/atom


(6)
# U2Pa5S12

A geometry-optimized U2Pa5S12 structure (PBE-GGA, Alexandria).

a = 8.450 Å, b = 8.450 Å, c = 8.695 Å
α = 103.92°, β = 103.92°, γ = 47.53°
Fractional coordinates of all 19 atoms:
U  0.181  0.819  0.000
U  0.819  0.181  0.000
Pa  0.177  0.177  0.838
Pa  0.190  0.190  0.347
Pa  0.500  0.500  0.500
Pa  0.810  0.810  0.653
Pa  0.823  0.823  0.162
S  0.006  0.006  0.289
S  0.075  0.571  0.902
S  0.104  0.585  0.427
S  0.415  0.896  0.573
S  0.429  0.925  0.098
S  0.490  0.490  0.191
S  0.510  0.510  0.809
S  0.571  0.075  0.902
S  0.585  0.104  0.427
S  0.896  0.415  0.573
S  0.925  0.429  0.098
S  0.994  0.994  0.711

uncorrected energy = -147.0 eV per cell
D(E_F) = 1.4518 states/eV per atom
space group = C2/m, No. 12
ΔE_f (raw) = -1.4446 eV/atom


(7)
# UPa2S4

A geometry-optimized UPa2S4 structure (PBE-GGA, Alexandria).

a = 6.745 Å, b = 6.745 Å, c = 12.832 Å
α = 90.00°, β = 90.00°, γ = 147.74°
Fractional coordinates of all 14 atoms:
U  0.117  0.883  0.750
U  0.883  0.117  0.250
Pa  0.361  0.639  0.563
Pa  0.361  0.639  0.937
Pa  0.639  0.361  0.063
Pa  0.639  0.361  0.437
S  0.000  0.000  0.000
S  0.000  0.000  0.500
S  0.274  0.726  0.134
S  0.274  0.726  0.366
S  0.459  0.541  0.750
S  0.541  0.459  0.250
S  0.726  0.274  0.634
S  0.726  0.274  0.866

uncorrected energy = -113.9 eV per cell
D(E_F) = 1.8548 states/eV per atom
space group = Cmcm, No. 63
ΔE_f (raw) = -1.4519 eV/atom


(8)
# U6PaS8

A geometry-optimized U6PaS8 structure (PBE-GGA, Alexandria).

a = 7.712 Å, b = 7.712 Å, c = 7.712 Å
α = 60.00°, β = 60.00°, γ = 60.00°
Fractional coordinates of all 15 atoms:
U  0.000  0.000  0.500
U  0.000  0.500  0.000
U  0.000  0.500  0.500
U  0.500  0.000  0.000
U  0.500  0.000  0.500
U  0.500  0.500  0.000
Pa  0.000  0.000  0.000
S  0.250  0.250  0.250
S  0.257  0.257  0.743
S  0.257  0.743  0.257
S  0.257  0.743  0.743
S  0.743  0.257  0.257
S  0.743  0.257  0.743
S  0.743  0.743  0.257
S  0.750  0.750  0.750

excess energy over the best structure of this formula in the dataset = 0 meV per atom
uncorrected energy = -131.4 eV per cell
D(E_F) = 2.0661 states/eV per atom
space group = Fm-3m, No. 225
ΔE_f (raw) = -1.4122 eV/atom